No. 1
The following is a DFT calculation (PBE) of a relaxed structure of PuScRhO6.

Cell lengths 5.400, 5.400, 8.641 Å; angles 90.00, 90.00, 120.00 degrees
Fractional positions:
Pu  0.333  0.667  0.250
Pu  0.667  0.333  0.750
Sc  0.333  0.667  0.750
Sc  0.667  0.333  0.250
Rh  0.000  0.000  0.000
Rh  0.000  0.000  0.500
O  0.005  0.331  0.126
O  0.005  0.674  0.374
O  0.326  0.331  0.374
O  0.326  0.995  0.126
O  0.331  0.005  0.626
O  0.331  0.326  0.874
O  0.669  0.674  0.126
O  0.669  0.995  0.374
O  0.674  0.005  0.874
O  0.674  0.669  0.626
O  0.995  0.326  0.626
O  0.995  0.669  0.874

space-group type: P-31c, No. 163



No. 2
The following is a DFT calculation (PBE) of a relaxed structure of PuSnRhO6.

Cell lengths 5.424, 5.424, 8.808 Å; angles 90.00, 90.00, 120.00 degrees
Fractional positions:
Pu  0.333  0.667  0.250
Pu  0.667  0.333  0.750
Sn  0.333  0.667  0.750
Sn  0.667  0.333  0.250
Rh  0.000  0.000  0.000
Rh  0.000  0.000  0.500
O  0.006  0.331  0.624
O  0.006  0.675  0.876
O  0.325  0.331  0.876
O  0.325  0.994  0.624
O  0.331  0.006  0.124
O  0.331  0.325  0.376
O  0.669  0.675  0.624
O  0.669  0.994  0.876
O  0.675  0.006  0.376
O  0.675  0.669  0.124
O  0.994  0.325  0.124
O  0.994  0.669  0.376

space-group type: P-31c, No. 163



No. 3
The following is a DFT calculation (PBE) of a relaxed structure of Sr2PuRhO5.

Cell lengths 6.503, 6.503, 6.096 Å; angles 90.00, 90.00, 90.00 degrees
Fractional positions:
Sr  0.164  0.336  0.000
Sr  0.336  0.836  0.000
Sr  0.664  0.164  0.000
Sr  0.836  0.664  0.000
Pu  0.000  0.000  0.500
Pu  0.500  0.500  0.500
Rh  0.000  0.500  0.500
Rh  0.500  0.000  0.500
O  0.000  0.000  0.000
O  0.161  0.661  0.290
O  0.161  0.661  0.710
O  0.339  0.161  0.290
O  0.339  0.161  0.710
O  0.500  0.500  0.000
O  0.661  0.839  0.290
O  0.661  0.839  0.710
O  0.839  0.339  0.290
O  0.839  0.339  0.710

space-group type: P4/mbm, No. 127



Calculated values (meV per atom) of uncorrected formation energy for the records, taken in order: -2156 -1610 -2012.
Calculated values (μB/f.u.) of size of the total moment for the records, taken in order: 2.0 3.0 3.0.